The following is a DFT calculation (PBE with a Hubbard U) of CoPCl2O after structural relaxation.

Cell: 5.508 5.508 3.317 Å, 90.00 90.00 90.00°
Positions (direct):
Co: 0.000 0.000 0.000
P: 0.500 0.500 0.000
Cl: 0.000 0.500 0.500
Cl: 0.500 0.000 0.500
O: 0.500 0.500 0.500

Properties
Total DFT energy (no corrections) in eV/cell: -17.20
SG: No. 123
Magnetization in μB per formula unit: 2.632
Energy above the most stable polymorph in this dataset in eV per formula unit: 0.000